# 1
Computed, not measured: a relaxed structure of Tb2HoEr2Th at the PBE level of DFT.

The structure belongs to space group P2_1/m (No. 11); the cell edges are 6.434, 6.756 and 8.875 Å and the angles 90.00°, 95.84° and 90.00°. The asymmetric unit holds Tb at (0.180, 0.000, 0.160), Ho at (0.320, 0.250, 0.828), Er at (0.072, 0.750, 0.491), Er at (0.422, 0.250, 0.467) and Th at (0.313, 0.750, 0.844).

The electronic total energy is -0.359 Ry per atom. As for the formation energy: 0.1736 eV/atom. The total magnetization is 0.0 μB/cell.

---

# 2
Computed, not measured: a relaxed structure of BaTaFeH2 at the PBE level of DFT.

The structure belongs to space group P4/mmm (No. 123); the cell edges are 3.752, 3.752 and 5.999 Å and the angles 90.00°, 90.00° and 90.00°. The asymmetric unit holds Ba at (0.000, 0.000, 0.000), Ta at (0.000, 0.000, 0.500), Fe at (0.500, 0.500, 0.000) and H at (0.000, 0.500, 0.500).

The electronic total energy is -0.318 Ry per atom. The total magnetization is 0.0 μB/cell.

---

# 3
Computed, not measured: a relaxed structure of BaRe3W at the PBE level of DFT.

The structure belongs to space group Pm-3m (No. 221); the cell edges are 4.841, 4.841 and 4.841 Å and the angles 90.00°, 90.00° and 90.00°. The asymmetric unit holds Ba at (0.000, 0.000, 0.000), Re at (0.000, 0.000, 0.500) and W at (0.500, 0.500, 0.500).

The electronic total energy is -0.455 Ry per atom. As for the formation energy: 4.2494 eV/atom. The total magnetization is 0.0 μB/cell. The polymorph energy (0 for the lowest one) comes out at 2.487 eV/atom.

---

# 4
Computed, not measured: a relaxed structure of Tc2OsRu at the PBE level of DFT.

The structure belongs to space group I-42d (No. 122); the cell edges are 5.569, 5.569 and 10.978 Å and the angles 90.00°, 90.00° and 90.00°. The asymmetric unit holds Tc at (0.248, 0.250, 0.125), Os at (0.000, 0.000, 0.500) and Ru at (0.000, 0.000, 0.000).

The electronic total energy is -0.663 Ry per atom. As for the formation energy: 1.2941 eV/atom. The total magnetization is 0.0 μB/cell. The polymorph energy (0 for the lowest one) comes out at 1.371 eV/atom.

---

# 5
Computed, not measured: a relaxed structure of TlSi2AgTe6 at the PBE level of DFT.

The structure belongs to space group C2/c (No. 15); the cell edges are 14.653, 13.445 and 7.254 Å and the angles 90.00°, 109.80° and 90.00°. The asymmetric unit holds Tl at (0.000, 0.186, 0.250), Si at (0.211, 0.429, 0.217), Ag at (0.000, 0.218, 0.750), Te at (0.106, 0.053, 0.653), Te at (0.128, 0.432, 0.476) and Te at (0.164, 0.252, 0.082).

The formation energy (no corrections) comes out at -0.018 eV per atom. The electronic total energy is -0.258 Ry per atom. The total magnetization is 0.0 μB/cell.

---

# 6
Computed, not measured: a relaxed structure of AlIn2AgPt at the PBE level of DFT.

The structure belongs to space group P4/mmm (No. 123); the cell edges are 5.278, 5.278 and 4.620 Å and the angles 90.00°, 90.00° and 90.00°. The asymmetric unit holds Al at (0.000, 0.000, 0.000), In at (0.000, 0.500, 0.000), Ag at (0.500, 0.500, 0.500) and Pt at (0.000, 0.000, 0.500).

The electronic total energy is -0.237 Ry per atom. As for the formation energy: 0.3954 eV/atom. The total magnetization is 0.0 μB/cell.

---

For each record above, in turn, the calculated volume values are 192 84 113 85 336 129 Å³/f.u..